No. 1
## Cd12Ag3Rh (PBE-GGA)

Data for Cd12Ag3Rh after structural relaxation.

abc: 4.3139 4.3139 17.2693
angles: 90.00 90.00 90.00
Sites, in units of the cell vectors:
Cd 0.5000 0.0000 0.3719
Cd 0.0000 0.5000 0.6281
Cd 0.5000 0.0000 0.6281
Cd 0.5000 0.5000 0.7540
Cd 0.5000 0.5000 0.2460
Cd 0.0000 0.5000 0.1176
Cd 0.5000 0.0000 0.1176
Cd 0.0000 0.5000 0.8824
Cd 0.5000 0.0000 0.8824
Cd 0.5000 0.5000 0.0000
Cd 0.0000 0.5000 0.3719
Cd 0.5000 0.5000 0.5000
Rh 0.0000 0.0000 0.0000
Ag 0.0000 0.0000 0.7555
Ag 0.0000 0.0000 0.5000
Ag 0.0000 0.0000 0.2445

The density of states at the Fermi level comes out at 5.63 states/eV/cell. As for the space group: P4/mmm. For the mass density, the calculation gives 9.17 Mg/m³. The value obtained for the formation enthalpy at 0 K is -0.0290 eV/atom.

***

No. 2
## Cd4Ag5Rh (PBE-GGA)

Data for Cd4Ag5Rh after structural relaxation.

abc: 5.0149 5.9111 6.7704
angles: 102.90 105.67 76.45
Sites, in units of the cell vectors:
Cd 0.8954 0.1037 0.8098
Cd 0.6916 0.2932 0.3852
Cd 0.3084 0.7068 0.6148
Cd 0.1046 0.8963 0.1902
Ag 0.8967 0.5971 0.7974
Ag 0.2958 0.2013 0.6059
Ag 0.7042 0.7987 0.3941
Ag 0.1033 0.4029 0.2026
Ag 0.5000 0.5000 0.0000
Rh 0.5000 0.0000 0.0000

The density of states at the Fermi level comes out at 4.44 states/eV/cell. As for the space group: P-1. For the mass density, the calculation gives 9.80 Mg/m³. The value obtained for the formation enthalpy at 0 K is -0.0363 eV/atom.

***

No. 3
## CdAg2Rh2 (PBE-GGA)

Data for CdAg2Rh2 after structural relaxation.

abc: 7.7938 7.7938 2.9039
angles: 90.00 90.00 90.00
Sites, in units of the cell vectors:
Rh 0.6684 0.8316 0.5000
Rh 0.3316 0.1684 0.5000
Rh 0.1684 0.6684 0.5000
Rh 0.8316 0.3316 0.5000
Ag 0.1288 0.3712 0.0000
Ag 0.3712 0.8712 0.0000
Ag 0.6288 0.1288 0.0000
Ag 0.8712 0.6288 0.0000
Cd 0.5000 0.5000 0.0000
Cd 0.0000 0.0000 0.0000

The density of states at the Fermi level comes out at 17.95 states/eV/cell. As for the space group: P4/mbm. For the mass density, the calculation gives 10.05 Mg/m³. The value obtained for the energy above the most stable polymorph in this dataset is 60 meV/atom. The value obtained for the formation enthalpy at 0 K is 0.3836 eV/atom.

***

No. 4
## Cd8Ag3Rh2 (PBE-GGA)

Data for Cd8Ag3Rh2 after structural relaxation.

abc: 4.6842 8.0001 8.0001
angles: 69.02 90.00 90.00
Sites, in units of the cell vectors:
Cd 0.5000 0.1338 0.6012
Cd 0.9998 0.1365 0.1365
Cd 0.5000 0.6012 0.1338
Cd 0.0002 0.8635 0.8635
Cd 0.9998 0.3626 0.3626
Cd 0.0002 0.6374 0.6374
Cd 0.5000 0.3988 0.8662
Cd 0.5000 0.8662 0.3988
Rh 0.5002 0.7613 0.7613
Rh 0.4998 0.2387 0.2387
Ag 0.0000 0.2497 0.7503
Ag 0.5000 0.0000 0.0000
Ag 0.0000 0.7503 0.2497

The density of states at the Fermi level comes out at 4.30 states/eV/cell. As for the space group: Cmmm. For the mass density, the calculation gives 8.48 Mg/m³. The value obtained for the formation enthalpy at 0 K is -0.0274 eV/atom.

***

No. 5
## Cd4AgRh2 (PBE-GGA)

Data for Cd4AgRh2 after structural relaxation.

abc: 4.6323 4.6323 7.7468
angles: 72.60 72.60 60.00
Sites, in units of the cell vectors:
Rh 0.7413 0.7413 0.7761
Rh 0.2587 0.2587 0.2239
Ag 0.0000 0.0000 0.0000
Cd 0.1322 0.1322 0.6033
Cd 0.8678 0.8678 0.3967
Cd 0.6109 0.6109 0.1673
Cd 0.3891 0.3891 0.8327

The density of states at the Fermi level comes out at 2.92 states/eV/cell. As for the space group: R-3m. For the mass density, the calculation gives 9.38 Mg/m³. The value obtained for the formation enthalpy at 0 K is -0.0589 eV/atom.

***

No. 6
## Cd8Ag2Rh (PBE-GGA)

Data for Cd8Ag2Rh after structural relaxation.

abc: 4.8622 5.5342 8.5364
angles: 91.42 106.55 90.00
Sites, in units of the cell vectors:
Cd 0.6697 0.0893 0.3394
Cd 0.0389 0.2451 0.0779
Cd 0.7730 0.6444 0.5461
Cd 0.5860 0.5638 0.1720
Cd 0.2270 0.3556 0.4539
Cd 0.9611 0.7549 0.9221
Cd 0.3303 0.9107 0.6606
Cd 0.4140 0.4362 0.8280
Ag 0.1460 0.8134 0.2920
Ag 0.8540 0.1866 0.7080
Rh 0.5000 0.0000 0.0000

The density of states at the Fermi level comes out at 3.11 states/eV/cell. As for the space group: C2/m. For the mass density, the calculation gives 9.19 Mg/m³. The value obtained for the energy above the most stable polymorph in this dataset is 0 meV/atom. The value obtained for the formation enthalpy at 0 K is -0.0278 eV/atom.

***

No. 7
## ScCdAgRh (PBE-GGA)

Data for ScCdAgRh after structural relaxation.

abc: 4.6721 4.6721 4.6721
angles: 60.00 60.00 60.00
Sites, in units of the cell vectors:
Cd 0.7500 0.7500 0.7500
Rh 0.5000 0.5000 0.5000
Ag 0.0000 0.0000 0.0000
Sc 0.2500 0.2500 0.2500

The density of states at the Fermi level comes out at 2.97 states/eV/cell. As for the space group: F-43m. For the mass density, the calculation gives 8.48 Mg/m³. The value obtained for the formation enthalpy at 0 K is -0.3929 eV/atom.

***

No. 8
## SrCd2AgRh (PBE-GGA)

Data for SrCd2AgRh after structural relaxation.

abc: 5.1242 5.1242 5.2358
angles: 90.00 90.00 90.00
Sites, in units of the cell vectors:
Sr 0.5000 0.5000 0.5000
Cd 0.0000 0.5000 0.0000
Cd 0.5000 0.0000 0.0000
Ag 0.0000 0.0000 0.5000
Rh 0.0000 0.0000 0.0000

The density of states at the Fermi level comes out at 2.56 states/eV/cell. As for the space group: P4/mmm. For the mass density, the calculation gives 6.32 Mg/m³. The value obtained for the formation enthalpy at 0 K is -0.0496 eV/atom.

***

No. 9
## ThCdAgRh (PBE-GGA)

Data for ThCdAgRh after structural relaxation.

abc: 4.9562 4.9562 4.9562
angles: 60.00 60.00 60.00
Sites, in units of the cell vectors:
Th 0.2500 0.2500 0.2500
Rh 0.5000 0.5000 0.5000
Ag 0.0000 0.0000 0.0000
Cd 0.7500 0.7500 0.7500

The density of states at the Fermi level comes out at 3.33 states/eV/cell. As for the space group: F-43m. For the mass density, the calculation gives 10.71 Mg/m³. The value obtained for the formation enthalpy at 0 K is -0.3053 eV/atom.

***

No. 10
## TmCdAgRh (PBE-GGA)

Data for TmCdAgRh after structural relaxation.

abc: 4.7838 4.7838 4.7838
angles: 60.00 60.00 60.00
Sites, in units of the cell vectors:
Tm 0.2500 0.2500 0.2500
Cd 0.7500 0.7500 0.7500
Rh 0.5000 0.5000 0.5000
Ag 0.0000 0.0000 0.0000

The density of states at the Fermi level comes out at 2.11 states/eV/cell. As for the space group: F-43m. For the mass density, the calculation gives 10.56 Mg/m³. The value obtained for the formation enthalpy at 0 K is -0.4145 eV/atom.

***

No. 11
## Tm4CdAg2Rh (PBE-GGA)

Data for Tm4CdAg2Rh after structural relaxation.

abc: 5.0412 5.0412 8.6904
angles: 73.14 73.14 60.00
Sites, in units of the cell vectors:
Tm 0.6159 0.6159 0.1522
Tm 0.8685 0.8685 0.3945
Tm 0.3841 0.3841 0.8478
Tm 0.1315 0.1315 0.6055
Rh 0.5000 0.5000 0.5000
Ag 0.7427 0.7427 0.7718
Ag 0.2573 0.2573 0.2282
Cd 0.0000 0.0000 0.0000

The density of states at the Fermi level comes out at 4.94 states/eV/cell. As for the space group: R-3m. For the mass density, the calculation gives 10.20 Mg/m³. The value obtained for the formation enthalpy at 0 K is -0.4959 eV/atom.

***

No. 12
## Tm4CdAgRh2 (PBE-GGA)

Data for Tm4CdAgRh2 after structural relaxation.

abc: 4.9501 4.9501 8.5882
angles: 73.25 73.25 60.00
Sites, in units of the cell vectors:
Rh 0.7497 0.7497 0.7509
Rh 0.2503 0.2503 0.2491
Cd 0.0000 0.0000 0.0000
Tm 0.8732 0.8732 0.3805
Tm 0.6227 0.6227 0.1318
Tm 0.1268 0.1268 0.6195
Tm 0.3773 0.3773 0.8682
Ag 0.5000 0.5000 0.5000

The density of states at the Fermi level comes out at 5.06 states/eV/cell. As for the space group: R-3m. For the mass density, the calculation gives 10.65 Mg/m³. The value obtained for the formation enthalpy at 0 K is -0.5944 eV/atom.